{
  "formula": "YAlPbO4",
  "functional": "GGA-PBE",
  "state": "relaxed",
  "formation_energy_uncorrected_ev_per_atom": -2.535,
  "dos_at_fermi_per_ev_cell": 0.0,
  "crystal_system": "monoclinic",
  "e_tot_ev_per_atom": -7.36,
  "magnetic_moment_mub_per_fu": 0.00,
  "cell": [[-2.533, 2.286, -4.784], [-3.699, -4.338, -0.114], [-3.671, 2.993, 5.220]],
  "species": ["Y", "Y", "Al", "Al", "Pb", "Pb", "O", "O", "O", "O", "O", "O", "O", "O"],
  "frac_coords": [[0.807, 0.750, 0.426], [0.193, 0.250, 0.574], [0.288, 0.750, 0.346], [0.712, 0.250, 0.654], [0.700, 0.750, 0.875], [0.300, 0.250, 0.125], [0.914, 0.487, 0.675], [0.086, 0.987, 0.325], [0.086, 0.513, 0.325], [0.914, 0.013, 0.675], [0.481, 0.750, 0.186], [0.519, 0.250, 0.814], [0.474, 0.750, 0.579], [0.526, 0.250, 0.421]]
}

{
  "formula": "AlZnPbO4",
  "functional": "GGA-PBE",
  "state": "relaxed",
  "formation_energy_uncorrected_ev_per_atom": -1.595,
  "dos_at_fermi_per_ev_cell": 3.6,
  "crystal_system": "orthorhombic",
  "e_tot_ev_per_atom": -5.67,
  "magnetic_moment_mub_per_fu": 0.00,
  "cell": [[6.178, 0.000, 0.000], [3.089, 5.520, 0.073], [3.089, 1.751, 5.235]],
  "species": ["Al", "Al", "Zn", "Zn", "Pb", "Pb", "O", "O", "O", "O", "O", "O", "O", "O"],
  "frac_coords": [[0.500, 0.000, 0.500], [0.000, 0.000, 0.500], [0.615, 0.635, 0.135], [0.385, 0.365, 0.865], [0.000, 0.000, 0.000], [0.000, 0.500, 0.500], [0.744, 0.795, 0.717], [0.256, 0.783, 0.705], [0.744, 0.217, 0.295], [0.256, 0.205, 0.283], [0.225, 0.788, 0.288], [0.699, 0.788, 0.288], [0.301, 0.212, 0.712], [0.775, 0.212, 0.712]]
}

{
  "formula": "AlPd2O",
  "functional": "GGA-PBE",
  "state": "relaxed",
  "formation_energy_uncorrected_ev_per_atom": -0.264,
  "dos_at_fermi_per_ev_cell": 5.0,
  "crystal_system": "cubic",
  "e_tot_ev_per_atom": -5.04,
  "magnetic_moment_mub_per_fu": 0.43,
  "cell": [[-4.095, -0.787, -0.524], [-2.639, 3.133, -0.938], [-1.711, 0.231, -3.832]],
  "species": ["O", "Al", "Pd", "Pd"],
  "frac_coords": [[0.000, 0.000, 0.000], [0.500, 0.500, 0.500], [0.250, 0.250, 0.250], [0.750, 0.750, 0.750]]
}

{
  "formula": "Al2PdO",
  "functional": "GGA-PBE",
  "state": "relaxed",
  "formation_energy_uncorrected_ev_per_atom": -1.318,
  "dos_at_fermi_per_ev_cell": 0.0,
  "crystal_system": "tetragonal",
  "e_tot_ev_per_atom": -5.73,
  "magnetic_moment_mub_per_fu": 0.00,
  "cell": [[5.602, 0.000, 0.000], [0.000, 5.602, 0.000], [2.801, 2.801, 3.499]],
  "species": ["O", "O", "Al", "Al", "Al", "Al", "Pd", "Pd"],
  "frac_coords": [[0.500, 0.500, 0.000], [0.250, 0.750, 0.500], [0.549, 0.125, 0.250], [0.201, 0.625, 0.250], [0.375, 0.451, 0.750], [0.875, 0.799, 0.750], [0.000, 0.000, 0.000], [0.750, 0.250, 0.500]]
}

{
  "formula": "AlPdO",
  "functional": "GGA-PBE",
  "state": "relaxed",
  "formation_energy_uncorrected_ev_per_atom": -1.440,
  "dos_at_fermi_per_ev_cell": 2.1,
  "crystal_system": "orthorhombic",
  "e_tot_ev_per_atom": -6.07,
  "magnetic_moment_mub_per_fu": 0.00,
  "cell": [[-1.894, -1.473, 1.637], [-2.616, -2.404, -5.191], [5.827, -7.100, 0.352]],
  "species": ["Pd", "Pd", "Pd", "Pd", "Al", "Al", "Al", "Al", "O", "O", "O", "O"],
  "frac_coords": [[0.750, 0.058, 0.872], [0.250, 0.442, 0.372], [0.750, 0.558, 0.628], [0.250, 0.942, 0.128], [0.250, 0.815, 0.481], [0.750, 0.185, 0.519], [0.250, 0.315, 0.019], [0.750, 0.685, 0.981], [0.250, 0.559, 0.892], [0.750, 0.941, 0.392], [0.250, 0.059, 0.608], [0.750, 0.441, 0.108]]
}

{
  "formula": "AlPd2O",
  "functional": "GGA-PBE",
  "state": "relaxed",
  "formation_energy_uncorrected_ev_per_atom": -0.233,
  "dos_at_fermi_per_ev_cell": 5.7,
  "crystal_system": "tetragonal",
  "e_tot_ev_per_atom": -5.00,
  "magnetic_moment_mub_per_fu": 0.00,
  "cell": [[3.707, 0.000, 0.000], [0.000, 3.707, 0.000], [1.853, 1.853, 8.366]],
  "species": ["O", "O", "Al", "Al", "Pd", "Pd", "Pd", "Pd"],
  "frac_coords": [[0.500, 0.500, 0.000], [0.250, 0.750, 0.500], [0.000, 0.000, 0.000], [0.750, 0.250, 0.500], [0.615, 0.125, 0.250], [0.135, 0.625, 0.250], [0.375, 0.385, 0.750], [0.875, 0.865, 0.750]]
}

{
  "formula": "AlPd3O",
  "functional": "GGA-PBE",
  "state": "relaxed",
  "formation_energy_uncorrected_ev_per_atom": -0.097,
  "dos_at_fermi_per_ev_cell": 4.2,
  "crystal_system": "cubic",
  "e_tot_ev_per_atom": -4.95,
  "magnetic_moment_mub_per_fu": 0.00,
  "cell": [[-1.465, 3.927, -0.489], [0.031, -0.509, -4.189], [-3.957, -1.458, 0.148]],
  "species": ["O", "Al", "Pd", "Pd", "Pd"],
  "frac_coords": [[0.000, 0.000, 0.000], [0.500, 0.500, 0.500], [0.000, 0.500, 0.000], [0.000, 0.000, 0.500], [0.500, 0.000, 0.000]]
}

{
  "formula": "PmAlPdO4",
  "functional": "GGA-PBE",
  "state": "relaxed",
  "formation_energy_uncorrected_ev_per_atom": -2.171,
  "dos_at_fermi_per_ev_cell": 11.4,
  "crystal_system": "orthorhombic",
  "e_tot_ev_per_atom": -6.96,
  "magnetic_moment_mub_per_fu": 0.32,
  "cell": [[-0.230, 4.346, -3.168], [-2.967, -4.049, -1.944], [-5.605, 2.358, 3.642]],
  "species": ["Pm", "Pm", "Al", "Al", "Pd", "Pd", "O", "O", "O", "O", "O", "O", "O", "O"],
  "frac_coords": [[0.500, 0.500, 0.500], [0.500, 0.500, 0.000], [0.130, 0.870, 0.250], [0.870, 0.130, 0.750], [0.797, 0.203, 0.250], [0.203, 0.797, 0.750], [0.229, 0.253, 0.750], [0.747, 0.771, 0.750], [0.763, 0.237, 0.962], [0.763, 0.237, 0.538], [0.237, 0.763, 0.038], [0.237, 0.763, 0.462], [0.771, 0.747, 0.250], [0.253, 0.229, 0.250]]
}

{
  "formula": "Pr3Al2PdO9",
  "functional": "GGA-PBE",
  "state": "relaxed",
  "formation_energy_uncorrected_ev_per_atom": -2.634,
  "dos_at_fermi_per_ev_cell": 3.3,
  "crystal_system": "trigonal",
  "e_tot_ev_per_atom": -7.41,
  "magnetic_moment_mub_per_fu": 0.40,
  "cell": [[-0.055, 3.852, 3.882], [-4.149, -3.541, -0.398], [3.172, -4.189, 4.202]],
  "species": ["Pr", "Pr", "Pr", "Al", "Al", "Pd", "O", "O", "O", "O", "O", "O", "O", "O", "O"],
  "frac_coords": [[0.333, 0.667, 0.657], [0.000, 0.000, 0.000], [0.667, 0.333, 0.343], [0.333, 0.667, 0.151], [0.667, 0.333, 0.849], [0.000, 0.000, 0.500], [0.824, 0.176, 0.676], [0.824, 0.649, 0.676], [0.351, 0.176, 0.676], [0.649, 0.824, 0.324], [0.176, 0.351, 0.324], [0.176, 0.824, 0.324], [0.500, 0.000, 0.000], [0.000, 0.500, 0.000], [0.500, 0.500, 0.000]]
}

{
  "formula": "Pr2AlPdO6",
  "functional": "GGA-PBE",
  "state": "relaxed",
  "formation_energy_uncorrected_ev_per_atom": -2.359,
  "dos_at_fermi_per_ev_cell": 5.2,
  "crystal_system": "orthorhombic",
  "e_tot_ev_per_atom": -7.18,
  "magnetic_moment_mub_per_fu": 0.00,
  "cell": [[5.464, 0.000, 0.000], [0.000, 5.672, 0.000], [0.000, 0.000, 7.876]],
  "species": ["Pr", "Pr", "Pr", "Pr", "Al", "Al", "Pd", "Pd", "O", "O", "O", "O", "O", "O", "O", "O", "O", "O", "O", "O"],
  "frac_coords": [[0.500, 0.776, 0.234], [0.000, 0.224, 0.734], [0.500, 0.776, 0.766], [0.000, 0.224, 0.266], [0.500, 0.247, 0.500], [0.000, 0.753, 0.000], [0.000, 0.735, 0.500], [0.500, 0.265, 0.000], [0.500, 0.217, 0.263], [0.500, 0.217, 0.737], [0.000, 0.783, 0.237], [0.000, 0.783, 0.763], [0.254, 0.002, 0.500], [0.746, 0.002, 0.500], [0.245, 0.460, 0.500], [0.755, 0.460, 0.500], [0.745, 0.540, 0.000], [0.255, 0.540, 0.000], [0.246, 0.998, 0.000], [0.754, 0.998, 0.000]]
}

{
  "formula": "AlPdPt2O",
  "functional": "GGA-PBE",
  "state": "relaxed",
  "formation_energy_uncorrected_ev_per_atom": 1.000,
  "dos_at_fermi_per_ev_cell": 9.2,
  "crystal_system": "tetragonal",
  "e_tot_ev_per_atom": -4.20,
  "magnetic_moment_mub_per_fu": 0.00,
  "cell": [[-3.519, -0.260, 2.896], [-0.619, -4.374, -1.145], [2.841, -1.276, 3.337]],
  "species": ["O", "Pd", "Pt", "Pt", "Al"],
  "frac_coords": [[0.500, 0.500, 0.500], [0.000, 0.500, 0.000], [0.000, 0.000, 0.500], [0.500, 0.000, 0.000], [0.000, 0.000, 0.000]]
}

{
  "formula": "PuAlPdO6",
  "functional": "GGA-PBE",
  "state": "relaxed",
  "formation_energy_uncorrected_ev_per_atom": -1.870,
  "dos_at_fermi_per_ev_cell": 9.4,
  "crystal_system": "trigonal",
  "e_tot_ev_per_atom": -7.76,
  "magnetic_moment_mub_per_fu": 2.77,
  "cell": [[-3.615, 2.488, -2.772], [3.739, -2.672, -2.414], [-5.146, -7.325, 0.137]],
  "species": ["Pu", "Pu", "Al", "Al", "Pd", "Pd", "O", "O", "O", "O", "O", "O", "O", "O", "O", "O", "O", "O"],
  "frac_coords": [[0.333, 0.667, 0.250], [0.667, 0.333, 0.750], [0.667, 0.333, 0.250], [0.333, 0.667, 0.750], [0.000, 0.000, 0.000], [0.000, 0.000, 0.500], [0.662, 0.644, 0.132], [0.982, 0.338, 0.132], [0.338, 0.982, 0.632], [0.018, 0.662, 0.868], [0.356, 0.338, 0.368], [0.982, 0.644, 0.368], [0.644, 0.982, 0.868], [0.662, 0.018, 0.368], [0.018, 0.356, 0.632], [0.356, 0.018, 0.132], [0.644, 0.662, 0.632], [0.338, 0.356, 0.868]]
}